{
  "formula": "Ni2BrCl",
  "functional": "GGA-PBE",
  "state": "relaxed",
  "e_above_lowest_polymorph_kj_per_mol_fu": 148,
  "lattice_angstrom": [[3.367, 0.000, 0.000], [0.000, 6.774, 0.000], [0.000, 0.000, 3.434]],
  "species": ["Cl", "Br", "Ni", "Ni"],
  "fractional_positions": [[0.000, 0.500, 0.500], [0.500, 0.000, 0.500], [0.500, 0.500, 0.000], [0.000, 0.000, 0.000]]
}

---

{
  "formula": "Ni2BrCl",
  "functional": "GGA-PBE",
  "state": "relaxed",
  "e_above_lowest_polymorph_kj_per_mol_fu": 145,
  "lattice_angstrom": [[3.834, -0.098, 0.000], [-2.291, 3.075, 0.000], [0.000, 0.000, 6.760]],
  "species": ["Cl", "Ni", "Ni", "Br"],
  "fractional_positions": [[0.500, 0.500, 0.750], [0.000, 0.000, 0.985], [0.000, 0.000, 0.515], [0.500, 0.500, 0.250]]
}

---

{
  "formula": "Ni2BrCl",
  "functional": "GGA-PBE",
  "state": "relaxed",
  "e_above_lowest_polymorph_kj_per_mol_fu": 73,
  "lattice_angstrom": [[6.196, -0.009, 0.555], [5.151, 3.444, 0.555], [0.730, 0.221, 3.553]],
  "species": ["Cl", "Ni", "Br", "Ni"],
  "fractional_positions": [[0.198, 0.198, 0.932], [0.827, 0.827, 0.797], [0.481, 0.481, 0.642], [0.994, 0.994, 0.129]]
}

---

{
  "formula": "NiBr2Cl",
  "functional": "GGA-PBE",
  "state": "relaxed",
  "e_above_lowest_polymorph_kj_per_mol_fu": 377,
  "lattice_angstrom": [[-4.290, 1.073, -2.303], [-2.365, -0.027, 4.390], [3.987, 2.919, -0.667]],
  "species": ["Br", "Ni", "Br", "Cl"],
  "fractional_positions": [[0.250, 0.750, 0.500], [0.750, 0.250, 0.500], [0.000, 0.000, 0.000], [0.500, 0.500, 0.000]]
}

---

{
  "formula": "NiBr2Cl",
  "functional": "GGA-PBE",
  "state": "relaxed",
  "e_above_lowest_polymorph_kj_per_mol_fu": 38,
  "lattice_angstrom": [[6.720, -0.159, 0.166], [1.316, 6.592, -0.166], [-2.081, -5.637, 3.018]],
  "species": ["Br", "Ni", "Br", "Cl"],
  "fractional_positions": [[0.909, 0.909, 0.000], [0.746, 0.246, 0.500], [0.245, 0.745, 0.500], [0.600, 0.600, 0.000]]
}

---

{
  "formula": "NiBr2Cl",
  "functional": "GGA-PBE",
  "state": "relaxed",
  "e_above_lowest_polymorph_kj_per_mol_fu": 266,
  "lattice_angstrom": [[7.413, 0.000, 0.000], [0.000, 3.847, 0.000], [0.000, 0.000, 3.847]],
  "species": ["Ni", "Br", "Cl", "Br"],
  "fractional_positions": [[0.500, 0.000, 0.500], [0.000, 0.500, 0.500], [0.500, 0.500, 0.000], [0.000, 0.000, 0.000]]
}

---

| no. | formation energy (no corrections) (meV per atom) |
| --- | --- |
| 1 | 240 |
| 2 | 231 |
| 3 | 44 |
| 4 | 704 |
| 5 | -174 |
| 6 | 417 |